Entry 1:
! Ag2TeAu GGA-PBEsol relaxed; values from VASP
! DOS(E_F), states/eV per atom: 0.286
! E_form (uncorrected), eV/atom: 0.163
! Space group: R-3m (166)
&SYSTEM
  ibrav = 0, nat = 4, ntyp = 3
/
ATOMIC_SPECIES
Au 196.97 Au.upf
Te 127.60 Te.upf
Ag 107.87 Ag.upf
CELL_PARAMETERS angstrom
3.127 0.000 0.000
1.564 2.708 0.000
1.564 0.903 9.244
ATOMIC_POSITIONS angstrom
Au 3.127 1.806 4.622
Te 0.000 0.000 0.000
Ag 1.564 0.903 2.481
Ag 4.691 2.708 6.763

=====

Entry 2:
! LiAl2Ir GGA-PBEsol relaxed; values from VASP
! DOS(E_F), states/eV per atom: 0.361
! Energy of formation from the pure elements, eV/atom: -0.556
! Space group: P4/mmm (123)
&SYSTEM
  ibrav = 0, nat = 4, ntyp = 3
/
ATOMIC_SPECIES
Ir 192.22 Ir.upf
Al 26.98 Al.upf
Li 6.94 Li.upf
CELL_PARAMETERS angstrom
-2.944 0.025 -0.562
0.509 -3.134 -2.805
-0.611 -2.850 3.074
ATOMIC_POSITIONS angstrom
Ir -1.523 -2.980 -0.146
Al -0.306 -1.425 1.537
Al 0.255 -1.567 -1.402
Li -1.472 0.012 -0.281

=====

Entry 3:
! ErCoGe GGA-PBEsol relaxed; values from VASP
! DOS(E_F), states/eV per atom: 0.614
! Energy of formation from the pure elements, eV/atom: -0.742
! Space group: Pnma (62)
&SYSTEM
  ibrav = 0, nat = 12, ntyp = 3
/
ATOMIC_SPECIES
Er 167.26 Er.upf
Co 58.93 Co.upf
Ge 72.64 Ge.upf
CELL_PARAMETERS angstrom
4.160 0.000 0.000
0.000 6.745 0.000
0.000 0.000 6.989
ATOMIC_POSITIONS angstrom
Er 3.120 3.291 4.863
Co 3.120 1.034 3.031
Er 1.040 3.454 2.126
Er 3.120 6.664 5.621
Co 3.120 4.407 0.464
Co 1.040 2.338 6.525
Ge 1.040 4.739 6.265
Co 1.040 5.711 3.958
Ge 3.120 5.378 2.770
Er 1.040 0.081 1.369
Ge 3.120 2.006 0.724
Ge 1.040 1.367 4.219

=====

Entry 4:
! BaBe2Cd GGA-PBEsol relaxed; values from VASP
! DOS(E_F), states/eV per atom: 1.160
! Energy of formation from the pure elements, eV/atom: 0.414
! Space group: I4_1/amd (141)
&SYSTEM
  ibrav = 0, nat = 8, ntyp = 3
/
ATOMIC_SPECIES
Be 9.01 Be.upf
Ba 137.33 Ba.upf
Cd 112.41 Cd.upf
CELL_PARAMETERS angstrom
-1.186 -3.057 3.558
3.938 -2.643 -0.958
3.040 7.460 4.132
ATOMIC_POSITIONS angstrom
Be 1.495 -1.037 2.898
Ba 4.177 0.983 2.237
Be 3.464 -2.358 2.419
Cd 1.376 -2.850 1.300
Be 3.608 4.222 3.185
Cd 1.615 0.777 4.495
Be 3.015 2.693 4.964
Ba 0.000 0.000 0.000

=====

Entry 5:
! CaNb3Cl GGA-PBEsol relaxed; values from VASP
! DOS(E_F), states/eV per atom: 1.481
! E_form (uncorrected), eV/atom: 0.539
! Space group: Pm-3m (221)
&SYSTEM
  ibrav = 0, nat = 5, ntyp = 3
/
ATOMIC_SPECIES
Nb 92.91 Nb.upf
Ca 40.08 Ca.upf
Cl 35.45 Cl.upf
CELL_PARAMETERS angstrom
-1.284 -4.052 -1.892
-1.160 -1.599 4.212
-4.319 1.634 -0.568
ATOMIC_POSITIONS angstrom
Nb -0.580 -0.800 2.106
Ca -3.381 -2.009 0.876
Nb -0.642 -2.026 -0.946
Nb -2.159 0.817 -0.284
Cl 0.000 0.000 0.000

=====

Entry 6:
! ZrAsPd GGA-PBEsol relaxed; values from VASP
! DOS(E_F), states/eV per atom: 0.554
! Energy of formation from the pure elements, eV/atom: -0.992
! Space group: Pmmn (59)
&SYSTEM
  ibrav = 0, nat = 30, ntyp = 3
/
ATOMIC_SPECIES
As 74.92 As.upf
Zr 91.22 Zr.upf
Pd 106.42 Pd.upf
CELL_PARAMETERS angstrom
3.895 0.000 0.000
0.000 6.677 0.000
0.000 0.000 19.334
ATOMIC_POSITIONS angstrom
As 1.947 4.935 3.825
As 0.000 1.743 13.492
Zr 1.947 3.087 7.300
Zr 1.947 5.667 9.667
As 0.000 5.077 7.759
Pd 1.947 2.347 4.300
Zr 0.000 1.011 0.000
Pd 1.947 5.840 17.863
As 1.947 1.716 9.667
Zr 1.947 3.087 12.034
Pd 1.947 3.242 0.000
As 1.947 4.935 15.509
Pd 1.947 2.347 15.034
Zr 1.947 6.493 6.159
Zr 0.000 3.591 16.967
Zr 0.000 3.591 2.367
Pd 0.000 3.435 9.667
As 0.000 1.743 5.842
Zr 0.000 0.185 3.508
Pd 1.947 5.840 1.471
As 1.947 1.600 17.426
Pd 0.000 0.838 8.196
Zr 0.000 0.185 15.826
Zr 1.947 6.493 13.176
As 0.000 4.962 0.000
As 1.947 1.600 1.909
Pd 0.000 4.330 5.367
As 0.000 5.077 11.576
Pd 0.000 0.838 11.139
Pd 0.000 4.330 13.967

=====

Entry 7:
! RbPtS2 GGA-PBEsol relaxed; values from VASP
! DOS(E_F), states/eV per atom: 1.263
! E_form (uncorrected), eV/atom: 0.390
! Space group: Fm-3m (225)
&SYSTEM
  ibrav = 0, nat = 4, ntyp = 3
/
ATOMIC_SPECIES
S 32.06 S.upf
Rb 85.47 Rb.upf
Pt 195.08 Pt.upf
CELL_PARAMETERS angstrom
4.739 0.000 0.000
2.370 4.104 0.000
2.370 1.368 3.869
ATOMIC_POSITIONS angstrom
S 2.370 1.368 0.967
Rb 0.000 0.000 0.000
S 7.109 4.104 2.902
Pt 4.739 2.736 1.935

=====

Entry 8:
! Sb2PtAu GGA-PBEsol relaxed; values from VASP
! DOS(E_F), states/eV per atom: 0.456
! E_form (uncorrected), eV/atom: -0.203
! Space group: R-3m (166)
&SYSTEM
  ibrav = 0, nat = 4, ntyp = 3
/
ATOMIC_SPECIES
Sb 121.76 Sb.upf
Au 196.97 Au.upf
Pt 195.08 Pt.upf
CELL_PARAMETERS angstrom
3.892 0.000 0.000
1.946 3.370 0.000
1.946 1.123 6.579
ATOMIC_POSITIONS angstrom
Sb 1.946 1.123 1.785
Au 0.000 0.000 0.000
Pt 3.892 2.247 3.290
Sb 5.838 3.370 4.795

=====

Entry 9:
! KZr3Cu GGA-PBEsol relaxed; values from VASP
! DOS(E_F), states/eV per atom: 1.571
! Energy of formation from the pure elements, eV/atom: 2.053
! Space group: Pm-3m (221)
&SYSTEM
  ibrav = 0, nat = 5, ntyp = 3
/
ATOMIC_SPECIES
K 39.10 K.upf
Zr 91.22 Zr.upf
Cu 63.55 Cu.upf
CELL_PARAMETERS angstrom
4.734 0.000 0.000
0.000 4.734 0.000
0.000 0.000 4.734
ATOMIC_POSITIONS angstrom
K 0.000 0.000 0.000
Zr 2.367 0.000 0.000
Zr 0.000 2.367 0.000
Cu 2.367 2.367 2.367
Zr 0.000 0.000 2.367

=====

Entry 10:
! La5V3S6O7 GGA-PBEsol relaxed; values from VASP
! DOS(E_F), states/eV per atom: 0.341
! E_form (uncorrected), eV/atom: -2.534
! Space group: Pmmn (59)
&SYSTEM
  ibrav = 0, nat = 42, ntyp = 4
/
ATOMIC_SPECIES
O 16.00 O.upf
La 138.91 La.upf
S 32.06 S.upf
V 50.94 V.upf
CELL_PARAMETERS angstrom
-2.401 -2.732 -1.000
5.795 -2.189 -7.936
9.105 -11.604 9.850
ATOMIC_POSITIONS angstrom
O 3.972 -7.421 3.629
La 8.807 -10.779 8.312
S 6.654 -6.374 -5.675
O 4.624 -3.788 -0.752
O 5.929 -9.356 4.216
O 11.480 -11.459 3.748
La 7.857 -8.158 -3.690
V 9.377 -8.076 -0.447
La 7.291 -9.758 2.045
S 4.814 -5.679 -3.156
O 8.482 -13.169 8.507
V 0.777 -2.565 -1.973
S 4.222 -4.616 2.478
O 5.927 -3.453 -4.796
S 7.046 -8.785 7.090
La 11.072 -10.306 1.577
V 6.711 -10.478 5.406
La 4.893 -4.380 -6.898
V 6.989 -4.681 -3.991
O 9.727 -7.738 -2.213
O 4.447 -6.540 0.077
La 9.386 -12.428 4.310
O 2.220 -3.701 -2.334
La 2.627 -4.853 -0.162
O 9.252 -8.620 1.339
S 11.034 -12.234 6.938
V 4.321 -7.082 1.863
O 7.771 -5.803 -2.801
S 9.477 -10.543 -1.062
La 4.315 -2.732 -2.895
S 6.702 -6.713 2.252
V 12.923 -12.594 3.387
O 5.218 -1.990 -7.093
S 2.036 -1.830 0.112
S 8.886 -9.480 4.571
La 6.409 -5.401 -0.629
O 7.773 -11.706 6.211
S 11.664 -13.329 1.303
O 9.076 -11.372 2.167
S 6.997 -8.446 -0.836
S 2.666 -2.926 -5.524
La 5.842 -7.001 5.106

=====

Entry 11:
! BaSiCl GGA-PBEsol relaxed; values from VASP
! DOS(E_F), states/eV per atom: 0.553
! E_form (uncorrected), eV/atom: -0.298
! Space group: P3m1 (156)
&SYSTEM
  ibrav = 0, nat = 3, ntyp = 3
/
ATOMIC_SPECIES
Ba 137.33 Ba.upf
Si 28.09 Si.upf
Cl 35.45 Cl.upf
CELL_PARAMETERS angstrom
4.271 0.000 0.000
-2.136 3.699 0.000
0.000 0.000 7.095
ATOMIC_POSITIONS angstrom
Ba 0.000 0.000 6.869
Si 2.136 1.233 2.127
Cl 0.000 2.466 5.195

=====

Entry 12:
! BeInSb2Mo GGA-PBEsol relaxed; values from VASP
! DOS(E_F), states/eV per atom: 0.696
! E_form (uncorrected), eV/atom: 1.927
! Space group: P4/mmm (123)
&SYSTEM
  ibrav = 0, nat = 5, ntyp = 4
/
ATOMIC_SPECIES
Mo 95.94 Mo.upf
Be 9.01 Be.upf
In 114.82 In.upf
Sb 121.76 Sb.upf
CELL_PARAMETERS angstrom
5.206 0.000 0.000
0.000 5.415 0.000
0.000 0.000 5.415
ATOMIC_POSITIONS angstrom
Mo 2.603 0.000 0.000
Be 2.603 2.707 2.707
In 0.000 0.000 0.000
Sb 0.000 2.707 0.000
Sb 0.000 0.000 2.707

=====

Entry 13:
! K2CaPt GGA-PBEsol relaxed; values from VASP
! DOS(E_F), states/eV per atom: 0.419
! Energy of formation from the pure elements, eV/atom: -0.166
! Space group: P4mm (99)
&SYSTEM
  ibrav = 0, nat = 4, ntyp = 3
/
ATOMIC_SPECIES
K 39.10 K.upf
Ca 40.08 Ca.upf
Pt 195.08 Pt.upf
CELL_PARAMETERS angstrom
3.771 0.000 0.000
0.000 3.771 0.000
0.000 0.000 10.631
ATOMIC_POSITIONS angstrom
K 0.000 0.000 10.218
Ca 1.885 1.885 6.917
Pt 0.000 0.000 5.832
K 1.885 1.885 3.610

=====

Entry 14:
! W2CSe GGA-PBEsol relaxed; values from VASP
! DOS(E_F), states/eV per atom: 0.784
! E_form (uncorrected), eV/atom: 0.955
! Space group: Fm-3m (225)
&SYSTEM
  ibrav = 0, nat = 4, ntyp = 3
/
ATOMIC_SPECIES
C 12.01 C.upf
W 183.84 W.upf
Se 78.96 Se.upf
CELL_PARAMETERS angstrom
-2.063 2.192 2.860
-3.811 -1.170 1.161
-0.621 -1.590 3.785
ATOMIC_POSITIONS angstrom
C 0.000 0.000 0.000
W -1.624 -0.142 1.952
W -4.872 -0.426 5.855
Se -3.248 -0.284 3.903

=====

Entry 15:
! K2LaSi GGA-PBEsol relaxed; values from VASP
! DOS(E_F), states/eV per atom: 1.483
! E_form (uncorrected), eV/atom: 0.571
! Space group: P4/mmm (123)
&SYSTEM
  ibrav = 0, nat = 4, ntyp = 3
/
ATOMIC_SPECIES
K 39.10 K.upf
Si 28.09 Si.upf
La 138.91 La.upf
CELL_PARAMETERS angstrom
-3.172 0.683 0.743
-0.964 -1.334 -2.893
-1.110 -11.164 5.520
ATOMIC_POSITIONS angstrom
K -0.771 -7.750 3.832
K -0.339 -3.414 1.688
Si -2.623 -5.908 1.685
La -2.068 -0.326 -1.075

=====

Entry 16:
! KFe2Hg GGA-PBEsol relaxed; values from VASP
! DOS(E_F), states/eV per atom: 0.852
! Energy of formation from the pure elements, eV/atom: 0.830
! Space group: P4/mmm (123)
&SYSTEM
  ibrav = 0, nat = 4, ntyp = 3
/
ATOMIC_SPECIES
K 39.10 K.upf
Fe 55.84 Fe.upf
Hg 200.59 Hg.upf
CELL_PARAMETERS angstrom
3.544 0.000 0.000
0.000 3.544 0.000
0.000 0.000 7.171
ATOMIC_POSITIONS angstrom
K 1.772 1.772 3.585
Fe 0.000 0.000 6.128
Fe 0.000 0.000 1.043
Hg 1.772 1.772 0.000

=====

Entry 17:
! TcWAu2 GGA-PBEsol relaxed; values from VASP
! DOS(E_F), states/eV per atom: 0.676
! Energy of formation from the pure elements, eV/atom: 0.290
! Space group: I-4m2 (119)
&SYSTEM
  ibrav = 0, nat = 4, ntyp = 3
/
ATOMIC_SPECIES
Tc 98.00 Tc.upf
W 183.84 W.upf
Au 196.97 Au.upf
CELL_PARAMETERS angstrom
3.983 0.000 0.000
0.000 3.983 0.000
-1.991 -1.991 3.916
ATOMIC_POSITIONS angstrom
Tc 1.991 1.991 0.000
W 0.000 1.991 1.958
Au 1.991 0.000 1.958
Au 0.000 0.000 0.000

=====

Entry 18:
! TlOsRh2 GGA-PBEsol relaxed; values from VASP
! DOS(E_F), states/eV per atom: 1.106
! Energy of formation from the pure elements, eV/atom: 0.404
! Space group: I4/mmm (139)
&SYSTEM
  ibrav = 0, nat = 4, ntyp = 3
/
ATOMIC_SPECIES
Rh 102.91 Rh.upf
Os 190.23 Os.upf
Tl 204.38 Tl.upf
CELL_PARAMETERS angstrom
-1.245 3.261 -1.895
0.113 -1.963 -3.451
-3.099 -1.753 3.181
ATOMIC_POSITIONS angstrom
Rh -1.776 -1.533 -1.472
Os -0.566 0.649 -2.673
Tl 0.000 0.000 0.000
Rh -2.455 1.079 -0.694

=====

Entry 19:
! Mn3TePd GGA-PBEsol relaxed; values from VASP
! DOS(E_F), states/eV per atom: 0.766
! E_form (uncorrected), eV/atom: 0.844
! Space group: Pm-3m (221)
&SYSTEM
  ibrav = 0, nat = 5, ntyp = 3
/
ATOMIC_SPECIES
Mn 54.94 Mn.upf
Te 127.60 Te.upf
Pd 106.42 Pd.upf
CELL_PARAMETERS angstrom
-1.302 -3.906 2.375
3.674 -2.364 -1.872
2.720 1.323 3.666
ATOMIC_POSITIONS angstrom
Mn 1.837 -1.182 -0.936
Te 2.546 -2.473 2.085
Mn -0.651 -1.953 1.188
Mn 1.360 0.662 1.833
Pd 0.000 0.000 0.000

=====

Entry 20:
! Ba4MnMo GGA-PBEsol relaxed; values from VASP
! DOS(E_F), states/eV per atom: 1.214
! Energy of formation from the pure elements, eV/atom: 1.463
! Space group: F-43m (216)
&SYSTEM
  ibrav = 0, nat = 6, ntyp = 3
/
ATOMIC_SPECIES
Ba 137.33 Ba.upf
Mo 95.94 Mo.upf
Mn 54.94 Mn.upf
CELL_PARAMETERS angstrom
6.900 0.000 0.000
3.450 5.975 0.000
3.450 1.992 5.634
ATOMIC_POSITIONS angstrom
Ba 6.900 3.984 4.934
Ba 8.629 2.985 2.111
Ba 5.171 2.985 2.111
Ba 6.900 5.980 2.111
Mo 0.000 0.000 0.000
Mn 10.350 5.975 4.225

=====

Entry 21:
! ReAgAs GGA-PBEsol relaxed; values from VASP
! DOS(E_F), states/eV per atom: 1.303
! Energy of formation from the pure elements, eV/atom: 1.572
! Space group: F-43m (216)
&SYSTEM
  ibrav = 0, nat = 3, ntyp = 3
/
ATOMIC_SPECIES
Re 186.21 Re.upf
Ag 107.87 Ag.upf
As 74.92 As.upf
CELL_PARAMETERS angstrom
-3.539 1.497 -1.965
-3.118 -2.731 -1.204
-3.785 -0.004 2.074
ATOMIC_POSITIONS angstrom
Re -5.221 -0.619 -0.547
Ag -2.611 -0.309 -0.274
As 0.000 0.000 0.000

=====

Entry 22:
! CaNi5H GGA-PBEsol relaxed; values from VASP
! DFT total energy, eV/cell: -36.9
! DOS(E_F), states/eV per atom: 1.098
! Space group: Cm (8)
&SYSTEM
  ibrav = 0, nat = 7, ntyp = 3
/
ATOMIC_SPECIES
Ni 58.69 Ni.upf
H 1.01 H.upf
Ca 40.08 Ca.upf
CELL_PARAMETERS angstrom
3.920 0.002 -0.001
0.082 4.874 0.012
-0.082 -2.358 4.266
ATOMIC_POSITIONS angstrom
Ni 1.907 1.251 2.143
Ni 1.850 -1.171 2.183
Ni 1.850 0.039 4.241
Ni 3.898 2.417 1.457
H 2.769 3.427 0.863
Ca 0.010 -2.328 4.248
Ni 3.851 0.090 2.826

=====

Entry 23:
! SbAuCl2 GGA-PBEsol relaxed; values from VASP
! DOS(E_F), states/eV per atom: 0.398
! E_form (uncorrected), eV/atom: -0.194
! Space group: Cmm2 (35)
&SYSTEM
  ibrav = 0, nat = 4, ntyp = 3
/
ATOMIC_SPECIES
Au 196.97 Au.upf
Cl 35.45 Cl.upf
Sb 121.76 Sb.upf
CELL_PARAMETERS angstrom
3.490 0.105 0.000
-1.303 3.240 0.000
0.000 0.000 8.200
ATOMIC_POSITIONS angstrom
Au 1.094 1.672 2.056
Cl 0.000 0.000 0.534
Cl 1.094 1.672 5.833
Sb 0.000 0.000 3.877

=====

Entry 24:
! LaScIn GGA-PBEsol relaxed; values from VASP
! DOS(E_F), states/eV per atom: 1.668
! Energy of formation from the pure elements, eV/atom: 0.161
! Space group: F-43m (216)
&SYSTEM
  ibrav = 0, nat = 3, ntyp = 3
/
ATOMIC_SPECIES
Sc 44.96 Sc.upf
In 114.82 In.upf
La 138.91 La.upf
CELL_PARAMETERS angstrom
4.961 0.000 0.000
2.480 4.296 0.000
2.480 1.432 4.051
ATOMIC_POSITIONS angstrom
Sc 7.441 4.296 3.038
In 0.000 0.000 0.000
La 4.961 2.864 2.025

=====

Entry 25:
! Ta4Pt GGA-PBEsol relaxed; values from VASP
! DOS(E_F), states/eV per atom: 0.719
! Energy of formation from the pure elements, eV/atom: -0.278
! Space group: I4/m (87)
&SYSTEM
  ibrav = 0, nat = 5, ntyp = 2
/
ATOMIC_SPECIES
Pt 195.08 Pt.upf
Ta 180.95 Ta.upf
CELL_PARAMETERS angstrom
3.405 0.000 0.000
1.702 5.000 0.000
1.702 0.000 5.000
ATOMIC_POSITIONS angstrom
Pt 0.000 0.000 0.000
Ta 5.107 2.978 3.999
Ta 1.702 2.022 1.001
Ta 3.405 3.999 2.022
Ta 3.405 1.001 2.978